LuTh2Tl after structural relaxation. Source: Alexandria, functional GGA-PBE.

```
LuTh2Tl
1.0
4.8000 0.0000 0.0000
0.0000 4.8000 0.0000
0.0000 0.0000 5.0860
Lu Th Tl
1 2 1
Cartesian
0.0000 0.0000 0.0000
0.0000 2.4000 2.5430
2.4000 0.0000 2.5430
2.4000 2.4000 0.0000
```

Calculated values
The space group is P4/mmm, No. 123. For the total energy, the calculation gives -0.2027 hartree per atom. As for the formation energy: -0.083 eV/atom. Its magnetization is 0.001 μB per cell. Its offset from the most stable computed form is 0 meV/atom.